DFT (PBE) results for a geometry-optimized ZrI structure.

- SG = P-6m2
- density (g cm⁻³) = 7.28
- calculated total energy (eV/atom) = -5.109

a b c (Å): 3.565 3.565 4.520
angles (deg): 90.00 90.00 120.00
Positions (direct):
Zr1 0.000 0.000 0.000
I1 0.333 0.667 0.500

***

DFT (PBE) results for a geometry-optimized Y5Zr3Ni16As12 structure.

- SG = P-62m
- density (g cm⁻³) = 7.69
- calculated total energy (eV/atom) = -6.481

a b c (Å): 12.755 12.755 3.919
angles (deg): 90.00 90.00 120.00
Positions (direct):
Y1 0.000 0.185 0.000
Y2 0.185 0.000 0.000
Y3 0.333 0.667 0.500
Y4 0.667 0.333 0.500
Y5 0.815 0.815 0.000
Zr1 0.000 0.564 0.500
Zr2 0.436 0.436 0.500
Zr3 0.564 0.000 0.500
Ni1 0.000 0.000 0.500
Ni2 0.000 0.724 0.000
Ni3 0.121 0.483 0.000
Ni4 0.184 0.808 0.500
Ni5 0.192 0.377 0.500
Ni6 0.276 0.276 0.000
Ni7 0.363 0.879 0.000
Ni8 0.377 0.192 0.500
Ni9 0.483 0.121 0.000
Ni10 0.517 0.637 0.000
Ni11 0.623 0.816 0.500
Ni12 0.637 0.517 0.000
Ni13 0.724 0.000 0.000
Ni14 0.808 0.184 0.500
Ni15 0.816 0.623 0.500
Ni16 0.879 0.363 0.000
As1 0.000 0.357 0.500
As2 0.000 0.822 0.500
As3 0.173 0.694 0.000
As4 0.178 0.178 0.500
As5 0.306 0.479 0.000
As6 0.357 0.000 0.500
As7 0.479 0.306 0.000
As8 0.521 0.827 0.000
As9 0.643 0.643 0.500
As10 0.694 0.173 0.000
As11 0.822 0.000 0.500
As12 0.827 0.521 0.000

***

DFT (PBE) results for a geometry-optimized NaHfBe structure.

- SG = F-43m
- density (g cm⁻³) = 5.82
- calculated total energy (eV/atom) = -4.004

a b c (Å): 4.396 4.396 4.396
angles (deg): 60.00 60.00 60.00
Positions (direct):
Na1 0.000 0.000 0.000
Hf1 0.500 0.500 0.500
Be1 0.750 0.750 0.750

***

DFT (PBE) results for a geometry-optimized Pr2Al2Sn structure.

- SG = Cmcm
- density (g cm⁻³) = 5.58
- calculated total energy (eV/atom) = -4.795

a b c (Å): 13.850 13.850 4.541
angles (deg): 90.00 90.00 161.91
Positions (direct):
Pr1 0.071 0.929 0.750
Pr2 0.297 0.703 0.250
Pr3 0.703 0.297 0.750
Pr4 0.929 0.071 0.250
Al1 0.385 0.615 0.750
Al2 0.478 0.522 0.750
Al3 0.522 0.478 0.250
Al4 0.615 0.385 0.250
Sn1 0.175 0.825 0.250
Sn2 0.825 0.175 0.750

***

no.,magnetic moment (μB/cell)
1,0.3
2,0.0
3,0.0
4,0.7